Record 1
Tl2Hg | PBEsol | optimized geometry

```
6
Lattice="-3.744 3.744 2.923 3.744 -3.744 2.923 3.744 3.744 -2.923" Properties=species:S:1:pos:R:3 pbc="T T T"
Tl 4.862 1.118 0.000
Tl 1.118 2.626 0.000
Tl 2.626 1.118 2.923
Tl -1.118 2.626 2.923
Hg 0.000 0.000 1.462
Hg 0.000 0.000 4.385
```

Output
mass density	12.35	Mg/m³
energy of formation	0.02	eV/atom

=====

Record 2
Re2Os | PBEsol | optimized geometry

```
6
Lattice="4.988 -1.373 0.000 4.988 1.373 0.000 -1.578 0.000 6.274" Properties=species:S:1:pos:R:3 pbc="T T T"
Re 0.000 0.000 0.000
Re -0.403 0.000 3.839
Re 3.425 0.000 1.762
Re 5.727 0.000 5.932
Os 2.269 0.000 4.196
Os 6.133 0.000 2.102
```

Output
mass density	21.74	Mg/m³
energy of formation	-0.07	eV/atom

=====

Record 3
ZrSi2Br | PBEsol | optimized geometry

```
4
Lattice="2.879 -4.121 0.000 2.879 4.121 0.000 0.000 0.000 3.031" Properties=species:S:1:pos:R:3 pbc="T T T"
Zr 0.000 0.000 0.000
Si 1.440 2.061 1.515
Si 1.440 -2.061 1.515
Br 2.879 0.000 0.000
```

Output
mass density	5.25	Mg/m³
uncorrected formation energy	-16	meV per atom

=====

Record 4
BaCI2N | PBEsol | optimized geometry

```
5
Lattice="6.203 0.000 0.000 0.000 6.203 0.000 0.000 0.000 3.163" Properties=species:S:1:pos:R:3 pbc="T T T"
Ba 0.000 0.000 0.000
C 3.101 3.101 1.581
I 0.000 3.101 1.581
I 3.101 0.000 1.581
N 3.101 3.101 0.000
```

Output
mass density	5.69	Mg/m³
uncorrected formation energy	683	meV per atom

=====

Record 5
CaCuF4 | PBEsol | optimized geometry

```
12
Lattice="-2.690 2.690 5.115 2.690 -2.690 5.115 2.690 2.690 -5.115" Properties=species:S:1:pos:R:3 pbc="T T T"
Ca 0.000 0.000 2.558
Ca 0.000 0.000 7.673
Cu 2.690 0.000 0.000
Cu 0.000 2.690 0.000
F 3.653 0.962 -1.314
F 0.962 1.728 -1.314
F 3.653 0.962 1.314
F 0.962 1.728 1.314
F 1.728 0.962 3.801
F -0.962 1.728 3.801
F 1.728 0.962 6.429
F -0.962 1.728 6.429
```

Output
mass density	4.03	Mg/m³
uncorrected formation energy	-2743	meV per atom

=====

Record 6
TaAgBr3 | PBEsol | optimized geometry

```
5
Lattice="5.062 0.000 0.000 0.000 5.062 0.000 0.000 0.000 5.062" Properties=species:S:1:pos:R:3 pbc="T T T"
Ta 0.000 0.000 0.000
Ag 2.531 2.531 2.531
Br 0.000 0.000 2.531
Br 0.000 2.531 0.000
Br 2.531 0.000 0.000
```

Output
mass density	6.77	Mg/m³
uncorrected formation energy	156	meV per atom

=====

Record 7
AlNi3Br | PBEsol | optimized geometry

```
5
Lattice="4.321 0.000 0.000 0.000 4.321 0.000 0.000 0.000 4.321" Properties=species:S:1:pos:R:3 pbc="T T T"
Al 0.000 0.000 0.000
Ni 0.000 2.160 2.160
Ni 2.160 0.000 2.160
Ni 2.160 2.160 0.000
Br 2.160 2.160 2.160
```

Output
mass density	5.82	Mg/m³
uncorrected formation energy	824	meV per atom

=====

Record 8
CrAsO4 | PBEsol | optimized geometry

```
24
Lattice="9.042 0.000 0.000 0.000 6.192 0.000 0.000 0.000 4.741" Properties=species:S:1:pos:R:3 pbc="T T T"
Cr 0.000 0.000 0.000
Cr 0.000 3.096 0.000
Cr 4.521 0.000 2.371
Cr 4.521 3.096 2.371
As 1.664 1.548 2.264
As 2.857 4.644 4.635
As 6.185 1.548 0.107
As 7.379 4.644 2.477
O 1.013 1.548 3.896
O 1.127 4.644 4.262
O 1.156 0.105 1.531
O 1.156 2.991 1.531
O 3.365 3.201 3.902
O 3.365 6.087 3.902
O 3.394 1.548 1.891
O 3.508 4.644 1.526
O 5.534 1.548 3.216
O 5.648 4.644 2.850
O 5.678 0.105 0.839
O 5.678 2.991 0.839
O 7.886 3.201 3.210
O 7.886 6.087 3.210
O 7.916 1.548 0.480
O 8.030 4.644 0.845
```

Output
mass density	4.78	Mg/m³
uncorrected formation energy	-1456	meV per atom

=====

Record 9
YSiOs | PBEsol | optimized geometry

```
3
Lattice="-1.562 1.562 5.299 1.562 -1.562 5.299 1.562 1.562 -5.299" Properties=species:S:1:pos:R:3 pbc="T T T"
Y 0.000 0.000 0.000
Si 0.000 0.000 7.445
Os 0.000 0.000 3.242
```

Output
mass density	9.87	Mg/m³
uncorrected formation energy	-495	meV per atom

=====

Record 10
La3CN | PBEsol | optimized geometry

```
5
Lattice="4.918 0.000 0.000 0.000 4.918 0.000 0.000 0.000 4.918" Properties=species:S:1:pos:R:3 pbc="T T T"
La 0.000 0.000 2.459
La 0.000 2.459 0.000
La 2.459 0.000 0.000
C 0.000 0.000 0.000
N 2.459 2.459 2.459
```

Output
mass density	6.18	Mg/m³
uncorrected formation energy	468	meV per atom

=====

Record 11
ZrSI2 | PBEsol | optimized geometry

```
8
Lattice="-5.297 5.297 2.415 5.297 -5.297 2.415 5.297 5.297 -2.415" Properties=species:S:1:pos:R:3 pbc="T T T"
Zr 0.000 0.000 0.000
Zr 0.000 5.297 1.208
S 5.297 0.000 1.208
S 0.000 0.000 2.415
I -1.098 2.649 0.604
I 2.649 4.199 1.811
I 1.098 7.946 0.604
I -2.649 6.395 1.811
```

Output
mass density	4.62	Mg/m³
uncorrected formation energy	-807	meV per atom

=====

Record 12
ScHg2Se | PBEsol | optimized geometry

```
4
Lattice="1.852 1.070 8.147 -1.852 1.070 8.147 0.000 -2.139 8.147" Properties=species:S:1:pos:R:3 pbc="T T T"
Sc 0.000 0.000 0.000
Hg 0.000 0.000 6.059
Hg 0.000 0.000 12.121
Se 0.000 0.000 17.731
```

Output
mass density	9.00	Mg/m³
uncorrected formation energy	-640	meV per atom